(1)
Density functional theory data (PBE-GGA) for a relaxed NiBiRu3 crystal.

The density of states at the Fermi level is 9.98 states/eV per cell. Its energy above the lowest structure with this stoichiometry is 1146.1 meV/atom. The value obtained for the magnetization is 4.9 μB/f.u.

The space group is Pm-3m (No. 221) and the conventional cell measures 4.950, 4.950 and 4.950 Å, with angles of 90.00, 90.00 and 90.00 degrees. The asymmetric unit holds Ni at (0.000, 0.000, 0.000), Bi at (0.500, 0.500, 0.500) and Ru at (0.000, 0.500, 0.500).

(2)
Density functional theory data (PBE-GGA) for a relaxed NiBiTe2Ru crystal.

The value obtained for the raw formation energy is 160 kJ/mol of atoms. The density of states at the Fermi level is 10.29 states/eV per cell. The value obtained for the magnetization is 2.8 μB/f.u.

The space group is P4/mmm (No. 123) and the conventional cell measures 5.906, 5.906 and 5.073 Å, with angles of 90.00, 90.00 and 90.00 degrees. The asymmetric unit holds Ni at (0.000, 0.000, 0.000), Bi at (0.500, 0.500, 0.500), Te at (0.000, 0.500, 0.500) and Ru at (0.500, 0.500, 0.000).

(3)
Density functional theory data (PBE-GGA) for a relaxed Ni2BiS3 crystal.

The value obtained for the raw formation energy is -23 kJ/mol of atoms. The density of states at the Fermi level is 20.95 states/eV per cell. The value obtained for the magnetization is 0.0 μB/f.u.

The space group is R-3m (No. 166, hexagonal axes) and the conventional cell measures 6.7141, 6.7141 and 16.8012 Å, with angles of 90.00, 90.00 and 120.00 degrees. The asymmetric unit holds Ni at (0.0000, 0.0000, 0.0000), Ni at (0.0000, 0.5000, 0.0000), Bi at (0.0000, 0.0000, 0.2115) and S at (0.0041, 0.5020, 0.2649).

Number 1: total energy -25.72 eV/cell. Number 2: total energy -16.96 eV/cell. Number 3: total energy -175.40 eV/cell.